No. 1
## ZrCd2W (PBE-GGA)

Data for crystalline ZrCd2W at its relaxed geometry.

Values from the calculation:
Volume: 19.43 A^3/atom
Final energy: -5.5025 eV/atom
Energy above the most stable polymorph in this dataset: 13.5 kJ/mol of atoms
Magnetic moment: 0.0 Bohr magnetons per cell
DOS(E_F): 6.82 states/eV/cell
Formation energy from the elements: 0.330 eV/atom

Unit cell a=5.784 b=9.307 c=2.888 alpha=90.00 beta=90.55 gamma=90.00
Space group C2/m (No. 12)
Asymmetric unit:
Zr 0.000 0.000 0.000 x2
Cd 0.250 0.250 0.500 x4
W 0.000 0.500 0.000 x2


No. 2
## ZrCd2W (PBE-GGA)

Data for crystalline ZrCd2W at its relaxed geometry.

Values from the calculation:
Volume: 20.12 A^3/atom
Final energy: -5.2694 eV/atom
Energy above the most stable polymorph in this dataset: 36.0 kJ/mol of atoms
Magnetic moment: 1.7 Bohr magnetons per cell
DOS(E_F): 25.76 states/eV/cell
Formation energy from the elements: 0.563 eV/atom

Unit cell a=6.853 b=6.853 c=6.853 alpha=90.00 beta=90.00 gamma=90.00
Space group F-43m (No. 216)
Asymmetric unit:
Zr 0.000 0.000 0.000 x4
Cd 0.000 0.000 0.500 x4
Cd 0.250 0.250 0.250 x4
W 0.250 0.250 0.750 x4


No. 3
## ZrCdW2 (PBE-GGA)

Data for crystalline ZrCdW2 at its relaxed geometry.

Values from the calculation:
Volume: 18.64 A^3/atom
Final energy: -8.4084 eV/atom
Magnetic moment: 0.0 Bohr magnetons per cell
DOS(E_F): 8.12 states/eV/cell
Formation energy from the elements: 0.434 eV/atom

Unit cell a=2.8799 b=2.8799 c=31.1353 alpha=90.00 beta=90.00 gamma=120.00
Space group R3m (No. 160, hexagonal axes)
Asymmetric unit:
Zr 0.0000 0.0000 0.0000 x3
Cd 0.0000 0.0000 0.7558 x3
W 0.0000 0.0000 0.2482 x3
W 0.0000 0.0000 0.5049 x3


No. 4
## ZrCd3W (PBE-GGA)

Data for crystalline ZrCd3W at its relaxed geometry.

Values from the calculation:
Volume: 26.92 A^3/atom
Final energy: -3.4911 eV/atom
Energy above the most stable polymorph in this dataset: 0.0 kJ/mol of atoms
Magnetic moment: 0.0 Bohr magnetons per cell
DOS(E_F): 2.16 states/eV/cell
Formation energy from the elements: 1.358 eV/atom

Unit cell a=5.125 b=5.125 c=5.125 alpha=90.00 beta=90.00 gamma=90.00
Space group Pm-3m (No. 221)
Asymmetric unit:
Zr 0.000 0.000 0.000 x1
Cd 0.000 0.500 0.500 x3
W 0.500 0.500 0.500 x1